A relaxed K2CaGe2O6 crystal, computed with PBE.

```
K2CaGe2O6
1.0
5.1469 -3.0667 0.0000
5.1469 3.0667 0.0000
-2.9986 0.0000 6.1174
K Ca Ge O
2 1 2 6
Cartesian
1.6089 0.0000 0.8254
5.6863 0.0000 5.2920
-1.4993 0.0000 3.0587
2.2760 0.0000 4.4283
5.0192 0.0000 1.6891
4.1547 1.4537 1.3977
0.6686 0.0000 3.8929
3.1404 1.4537 4.7197
4.1547 -1.4537 1.3977
6.6265 0.0000 2.2245
3.1404 -1.4537 4.7197
```

Summary:
E ... -0.42484 Ry per atom
M_tot ... 0.0 μB per formula unit
Formation energy from raw total energies ... -1.855 eV/atom
SG ... C2/m (12)
Calculated volume ... 17.56 Å³/atom
Crystal system ... monoclinic